Record 1
Ba3Sr3TlCd2 | PBE | optimized geometry

Cell: 9.0761 9.0761 5.5535 Å, 90.00 90.00 120.00°
Space group P-62m (No. 189)
Unique sites:
Ba: 0.0000 0.7457 0.0000
Sr: 0.0000 0.4103 0.5000
Tl: 0.0000 0.0000 0.5000
Cd: 0.3333 0.6667 0.0000

Energy of formation from the pure elements in eV per formula unit: -1.90
E in eV/atom: -1.879



Record 2
KCrS3 | PBE | optimized geometry

Cell: 5.4270 5.4270 5.4270 Å, 90.00 90.00 90.00°
Space group Pm-3m (No. 221)
Unique sites:
K: 0.0000 0.0000 0.0000
Cr: 0.5000 0.5000 0.5000
S: 0.0000 0.0000 0.5000

Formation energy from raw total energies in meV per atom: 1322
Distance to the lowest polymorph of the same formula in eV per atom: 2.0142
E in eV/atom: -3.299



Record 3
Np2Ga5Ni3 | PBE | optimized geometry

Cell: 4.2619 24.1448 6.3799 Å, 90.00 90.00 90.00°
Space group Cmc2_1 (No. 36)
Unique sites:
Np: 0.0000 0.0166 0.0000
Np: 0.0000 0.3293 0.0444
Ga: 0.0000 0.1025 0.3421
Ga: 0.0000 0.2065 0.8524
Ga: 0.0000 0.2122 0.2578
Ga: 0.0000 0.3746 0.5157
Ga: 0.0000 0.4476 0.1852
Ni: 0.0000 0.1062 0.7455
Ni: 0.0000 0.2746 0.5584
Ni: 0.0000 0.4488 0.7853

Energy of formation from the pure elements in eV per formula unit: -2.81
E in eV/atom: -6.117



Record 4
SrCeSe2 | PBE | optimized geometry

Cell: 6.1169 6.1169 12.2597 Å, 90.00 90.00 90.00°
Space group I4_1/amd (No. 141, origin choice 2)
Unique sites:
Sr: 0.0000 0.2500 0.3750
Ce: 0.0000 0.2500 0.8750
Se: 0.0000 0.2500 0.1212

Formation energy from raw total energies in meV per atom: -1862
Distance to the lowest polymorph of the same formula in eV per atom: 0.0523
E in eV/atom: -5.509



Record 5
ZnBSbO5 | PBE | optimized geometry

Cell: 6.7081 7.9689 7.2019 Å, 90.00 116.98 90.00°
Space group C2/c (No. 15)
Unique sites:
Zn: 0.0000 0.1526 0.2500
B: 0.0000 0.1784 0.7500
Sb: 0.0000 0.5000 0.0000
O: 0.0000 0.3927 0.2500
O: 0.0959 0.2782 0.6376
O: 0.1729 0.0534 0.8967

Formation energy from raw total energies in meV per atom: -1660
E in eV/atom: -6.268



Record 6
HgAu | PBE | optimized geometry

Cell: 3.1459 3.1459 29.3498 Å, 90.00 90.00 120.00°
Space group R-3m (No. 166, hexagonal axes)
Unique sites:
Hg: 0.0000 0.0000 0.1196
Au: 0.0000 0.0000 0.3713

Energy of formation from the pure elements in eV per formula unit: 0.25
E in eV/atom: -1.664